Entry 1:
Entry from the Alexandria database: an optimized crystal structure of La4Pr3ThTe8 (GGA-PBE).

raw formation energy: -1462 meV/atom
symmetry: R-3m

a = 9.0832 Å, b = 9.0832 Å, c = 9.0832 Å
α = 60.22°, β = 60.22°, γ = 60.22°
Fractional coordinates of all 16 atoms:
La: 0.0000 0.0000 0.0000
La: 0.0000 0.5000 0.5000
La: 0.5000 0.0000 0.5000
La: 0.5000 0.5000 0.0000
Pr: 0.0000 0.0000 0.5000
Pr: 0.0000 0.5000 0.0000
Pr: 0.5000 0.0000 0.0000
Th: 0.5000 0.5000 0.5000
Te: 0.2493 0.2493 0.2493
Te: 0.2503 0.7480 0.7480
Te: 0.2520 0.2520 0.7497
Te: 0.2520 0.7497 0.2520
Te: 0.7480 0.2503 0.7480
Te: 0.7480 0.7480 0.2503
Te: 0.7497 0.2520 0.2520
Te: 0.7507 0.7507 0.7507

Entry 2:
Entry from the Alexandria database: an optimized crystal structure of La3PrTh2Te6 (GGA-PBE).

raw formation energy: -1369 meV/atom
symmetry: C2/m

a = 7.8238 Å, b = 7.8238 Å, c = 7.8694 Å
α = 99.53°, β = 99.53°, γ = 119.70°
Fractional coordinates of all 12 atoms:
La: 0.0000 0.0000 0.0000
La: 0.3360 0.6640 0.0000
La: 0.6640 0.3360 0.0000
Pr: 0.5000 0.5000 0.5000
Th: 0.1674 0.8326 0.5000
Th: 0.8326 0.1674 0.5000
Te: 0.0822 0.4174 0.2529
Te: 0.2458 0.2458 0.7438
Te: 0.4174 0.0822 0.2529
Te: 0.5826 0.9178 0.7471
Te: 0.7542 0.7542 0.2562
Te: 0.9178 0.5826 0.7471